DFT (PBE) results for a relaxed structure of Pr2Dy3ErS6.

```
data_Pr2Dy3ErS6
_space_group_name_H-M_alt 'P 1'
_space_group_IT_number 1
_cell_length_a 8.8652
_cell_length_b 8.8652
_cell_length_c 7.9964
_cell_angle_alpha 103.23
_cell_angle_beta 103.23
_cell_angle_gamma 25.70
loop_
_space_group_symop_operation_xyz
'x,y,z'
loop_
_atom_site_label
_atom_site_type_symbol
_atom_site_fract_x
_atom_site_fract_y
_atom_site_fract_z
Pr1 Pr 0.1677 0.1677 0.3359
Pr2 Pr 0.8323 0.8323 0.6641
Dy1 Dy 0.1697 0.1697 0.8335
Dy2 Dy 0.5000 0.5000 0.5000
Dy3 Dy 0.8303 0.8303 0.1665
Er1 Er 0.5000 0.5000 0.0000
S1 S 0.0049 0.0049 0.7559
S2 S 0.3358 0.3358 0.9300
S3 S 0.3380 0.3380 0.4060
S4 S 0.6620 0.6620 0.5940
S5 S 0.6642 0.6642 0.0700
S6 S 0.9951 0.9951 0.2441
```

Values from the calculation:
- uncorrected formation energy (meV per atom) = -1991

DFT (PBE) results for a relaxed structure of Cd2HgBi.

```
data_Cd2HgBi
_space_group_name_H-M_alt 'P 1'
_space_group_IT_number 1
_cell_length_a 5.6852
_cell_length_b 5.6852
_cell_length_c 3.3015
_cell_angle_alpha 90.00
_cell_angle_beta 90.00
_cell_angle_gamma 90.00
loop_
_space_group_symop_operation_xyz
'x,y,z'
loop_
_atom_site_label
_atom_site_type_symbol
_atom_site_fract_x
_atom_site_fract_y
_atom_site_fract_z
Cd1 Cd 0.0000 0.5000 0.0000
Cd2 Cd 0.5000 0.0000 0.0000
Hg1 Hg 0.0000 0.0000 0.5000
Bi1 Bi 0.5000 0.5000 0.5000
```

Values from the calculation:
- ΔE_f (eV per atom) = 0.06

DFT (PBE) results for a relaxed structure of Pa3In5N12.

```
data_Pa3In5N12
_space_group_name_H-M_alt 'P 1'
_space_group_IT_number 1
_cell_length_a 11.4225
_cell_length_b 11.4225
_cell_length_c 11.4225
_cell_angle_alpha 109.47
_cell_angle_beta 109.47
_cell_angle_gamma 109.47
loop_
_space_group_symop_operation_xyz
'x,y,z'
loop_
_atom_site_label
_atom_site_type_symbol
_atom_site_fract_x
_atom_site_fract_y
_atom_site_fract_z
Pa1 Pa 0.1250 0.2500 0.3750
Pa2 Pa 0.1250 0.3750 0.7500
Pa3 Pa 0.2500 0.3750 0.1250
Pa4 Pa 0.2500 0.8750 0.6250
Pa5 Pa 0.3750 0.1250 0.2500
Pa6 Pa 0.3750 0.7500 0.1250
Pa7 Pa 0.6250 0.2500 0.8750
Pa8 Pa 0.6250 0.8750 0.7500
Pa9 Pa 0.7500 0.1250 0.3750
Pa10 Pa 0.7500 0.6250 0.8750
Pa11 Pa 0.8750 0.6250 0.2500
Pa12 Pa 0.8750 0.7500 0.6250
In1 In 0.0000 0.0000 0.0000
In2 In 0.0000 0.0000 0.5000
In3 In 0.0000 0.5000 0.0000
In4 In 0.0000 0.5000 0.5000
In5 In 0.1250 0.7500 0.8750
In6 In 0.1250 0.8750 0.2500
In7 In 0.2500 0.1250 0.8750
In8 In 0.2500 0.6250 0.3750
In9 In 0.3750 0.2500 0.6250
In10 In 0.3750 0.6250 0.7500
In11 In 0.5000 0.0000 0.0000
In12 In 0.5000 0.0000 0.5000
In13 In 0.5000 0.5000 0.0000
In14 In 0.5000 0.5000 0.5000
In15 In 0.6250 0.3750 0.2500
In16 In 0.6250 0.7500 0.3750
In17 In 0.7500 0.3750 0.6250
In18 In 0.7500 0.8750 0.1250
In19 In 0.8750 0.1250 0.7500
In20 In 0.8750 0.2500 0.1250
N1 N 0.0565 0.2293 0.1395
N2 N 0.0565 0.3273 0.9170
N3 N 0.0830 0.6395 0.4103
N4 N 0.0830 0.9435 0.6727
N5 N 0.0897 0.7293 0.6727
N6 N 0.0897 0.8605 0.4170
N7 N 0.1395 0.0565 0.2293
N8 N 0.1395 0.5830 0.9103
N9 N 0.1727 0.2293 0.5897
N10 N 0.1727 0.4435 0.5830
N11 N 0.2293 0.1395 0.0565
N12 N 0.2293 0.5897 0.1727
N13 N 0.2707 0.3273 0.9103
N14 N 0.2707 0.4435 0.3605
N15 N 0.3273 0.9103 0.2707
N16 N 0.3273 0.9170 0.0565
N17 N 0.3605 0.2707 0.4435
N18 N 0.3605 0.5897 0.9170
N19 N 0.4103 0.0830 0.6395
N20 N 0.4103 0.8273 0.7707
N21 N 0.4170 0.0897 0.8605
N22 N 0.4170 0.8273 0.5565
N23 N 0.4435 0.3605 0.2707
N24 N 0.4435 0.5830 0.1727
N25 N 0.5565 0.4170 0.8273
N26 N 0.5565 0.6395 0.7293
N27 N 0.5830 0.1727 0.4435
N28 N 0.5830 0.9103 0.1395
N29 N 0.5897 0.1727 0.2293
N30 N 0.5897 0.9170 0.3605
N31 N 0.6395 0.4103 0.0830
N32 N 0.6395 0.7293 0.5565
N33 N 0.6727 0.0830 0.9435
N34 N 0.6727 0.0897 0.7293
N35 N 0.7293 0.5565 0.6395
N36 N 0.7293 0.6727 0.0897
N37 N 0.7707 0.4103 0.8273
N38 N 0.7707 0.8605 0.9435
N39 N 0.8273 0.5565 0.4170
N40 N 0.8273 0.7707 0.4103
N41 N 0.8605 0.4170 0.0897
N42 N 0.8605 0.9435 0.7707
N43 N 0.9103 0.1395 0.5830
N44 N 0.9103 0.2707 0.3273
N45 N 0.9170 0.0565 0.3273
N46 N 0.9170 0.3605 0.5897
N47 N 0.9435 0.6727 0.0830
N48 N 0.9435 0.7707 0.8605
```

Values from the calculation:
- uncorrected formation energy (meV per atom) = -57